Below is Cr2CoOs after structural relaxation, with properties calculated at the PBE level.

* DOS at the Fermi energy: 4.8 states/eV per cell
* DFT formation energy: 0.165 eV per atom
* calculated volume: 48.9 Å³/cell

a = 2.880 Å, b = 2.880 Å, c = 5.890 Å
α = 90.00°, β = 90.00°, γ = 90.00°
Fractional positions:
Cr 0.500 0.500 0.230
Cr 0.000 0.000 0.004
Os 0.000 0.000 0.493
Co 0.500 0.500 0.774

Below is CrCoOs2 after structural relaxation, with properties calculated at the PBE level.

* DOS at the Fermi energy: 5.1 states/eV per cell
* DFT formation energy: 0.473 eV per atom
* calculated volume: 53.5 Å³/cell
* offset from the most stable computed form: 159 kJ/mol of formula units

a = 2.617 Å, b = 2.617 Å, c = 8.671 Å
α = 90.00°, β = 90.00°, γ = 115.83°
Fractional positions:
Os 0.000 0.000 0.985
Os 0.500 0.500 0.261
Cr 0.500 0.500 0.743
Co 0.000 0.000 0.512

Below is CrCoOs after structural relaxation, with properties calculated at the PBE level.

* DOS at the Fermi energy: 4.0 states/eV per cell
* DFT formation energy: 0.346 eV per atom
* calculated volume: 38.1 Å³/cell
* offset from the most stable computed form: 78 kJ/mol of formula units

a = 6.538 Å, b = 6.348 Å, c = 2.576 Å
α = 82.66°, β = 74.34°, γ = 23.00°
Fractional positions:
Cr 0.337 0.337 0.663
Co 0.993 0.993 0.007
Os 0.670 0.670 0.330

Below is Cr2CoOs after structural relaxation, with properties calculated at the PBE level.

* DOS at the Fermi energy: 5.1 states/eV per cell
* DFT formation energy: 0.224 eV per atom
* calculated volume: 49.6 Å³/cell

a = 8.495 Å, b = 8.495 Å, c = 8.495 Å
α = 17.72°, β = 17.72°, γ = 17.72°
Fractional positions:
Co 0.746 0.746 0.746
Os 0.501 0.501 0.501
Cr 0.002 0.002 0.002
Cr 0.251 0.251 0.251

Below is Cr2CoOs after structural relaxation, with properties calculated at the PBE level.

* DOS at the Fermi energy: 4.5 states/eV per cell
* DFT formation energy: 0.171 eV per atom
* calculated volume: 49.8 Å³/cell

a = 4.129 Å, b = 4.129 Å, c = 4.129 Å
α = 60.00°, β = 60.00°, γ = 60.00°
Fractional positions:
Cr 0.000 0.000 0.000
Cr 0.750 0.750 0.750
Co 0.500 0.500 0.500
Os 0.250 0.250 0.250

Below is Cr2CoOs after structural relaxation, with properties calculated at the PBE level.

* DOS at the Fermi energy: 4.7 states/eV per cell
* DFT formation energy: 0.044 eV per atom
* calculated volume: 48.3 Å³/cell

a = 4.442 Å, b = 4.442 Å, c = 4.442 Å
α = 131.41°, β = 131.41°, γ = 71.16°
Fractional positions:
Os 0.250 0.750 0.500
Cr 0.500 0.500 0.000
Cr 0.000 0.000 0.000
Co 0.750 0.250 0.500

Below is CrCoOs2 after structural relaxation, with properties calculated at the PBE level.

* DOS at the Fermi energy: 4.5 states/eV per cell
* DFT formation energy: 0.261 eV per atom
* calculated volume: 51.8 Å³/cell
* offset from the most stable computed form: 77 kJ/mol of formula units

a = 4.968 Å, b = 4.968 Å, c = 4.968 Å
α = 146.30°, β = 129.74°, γ = 61.88°
Fractional positions:
Os 0.741 0.241 0.500
Os 0.012 0.012 0.000
Cr 0.263 0.763 0.500
Co 0.484 0.484 0.000

Below is Cr2CoOs after structural relaxation, with properties calculated at the PBE level.

* DOS at the Fermi energy: 4.7 states/eV per cell
* DFT formation energy: 0.132 eV per atom
* calculated volume: 48.7 Å³/cell

a = 4.432 Å, b = 4.432 Å, c = 4.477 Å
α = 80.48°, β = 80.48°, γ = 34.24°
Fractional positions:
Os 0.504 0.504 0.503
Cr 0.995 0.995 0.013
Cr 0.749 0.749 0.750
Co 0.251 0.251 0.234

Below is Cr2CoOs after structural relaxation, with properties calculated at the PBE level.

* DOS at the Fermi energy: 13.1 states/eV per cell
* DFT formation energy: 0.714 eV per atom
* calculated volume: 105.3 Å³/cell

a = 3.577 Å, b = 3.577 Å, c = 8.610 Å
α = 78.01°, β = 78.01°, γ = 90.00°
Fractional positions:
Co 0.250 0.750 0.500
Co 0.500 0.500 0.000
Cr 0.161 0.625 0.250
Cr 0.875 0.839 0.750
Cr 0.589 0.125 0.250
Cr 0.375 0.411 0.750
Os 0.000 0.000 0.000
Os 0.750 0.250 0.500

Below is CrCoOs3 after structural relaxation, with properties calculated at the PBE level.

* DOS at the Fermi energy: 11.4 states/eV per cell
* DFT formation energy: 1.994 eV per atom
* calculated volume: 84.3 Å³/cell
* offset from the most stable computed form: 0 kJ/mol of formula units

a = 4.385 Å, b = 4.385 Å, c = 4.385 Å
α = 90.00°, β = 90.00°, γ = 90.00°
Fractional positions:
Cr 0.000 0.000 0.000
Os 0.000 0.000 0.500
Os 0.000 0.500 0.000
Os 0.500 0.000 0.000
Co 0.500 0.500 0.500

Below is CrCoOs2 after structural relaxation, with properties calculated at the PBE level.

* DOS at the Fermi energy: 4.0 states/eV per cell
* DFT formation energy: 0.061 eV per atom
* calculated volume: 51.1 Å³/cell
* offset from the most stable computed form: 0 kJ/mol of formula units

a = 3.633 Å, b = 3.750 Å, c = 3.750 Å
α = 90.00°, β = 90.00°, γ = 90.00°
Fractional positions:
Os 0.000 0.500 0.500
Os 0.000 0.000 0.000
Co 0.500 0.500 0.000
Cr 0.500 0.000 0.500

Below is CrCoOs2 after structural relaxation, with properties calculated at the PBE level.

* DOS at the Fermi energy: 4.8 states/eV per cell
* DFT formation energy: 0.119 eV per atom
* calculated volume: 51.3 Å³/cell
* offset from the most stable computed form: 22 kJ/mol of formula units

a = 4.563 Å, b = 4.563 Å, c = 4.484 Å
α = 80.04°, β = 80.04°, γ = 34.00°
Fractional positions:
Cr 0.753 0.753 0.739
Os 0.001 0.001 0.997
Os 0.249 0.249 0.254
Co 0.497 0.497 0.510

In the order shown, the computed VASP energy values come out to -36.92; -37.30; -26.92; -36.68; -36.90; -37.41; -38.14; -37.05; -69.45; -40.45; -38.95; -38.71 eV per cell.
In the order shown, the computed M_tot values come out to 1.98; 2.51; 1.76; 0.42; 3.31; 0.01; 2.76; 0.00; 0.00; 0.00; 0.18; 0.22 Bohr magnetons per cell.